Record 1
The following is a DFT calculation (GGA-PBE) of LiAlCu2 after structural relaxation.

```
LiAlCu2
1.0
-0.314 -7.581 -4.218
-1.389 -8.366 -1.855
-2.965 -7.243 -3.756
Cu Li Al
2 1 1
Direct
0.998 0.998 0.998
0.253 0.253 0.253
0.503 0.503 0.503
0.745 0.745 0.745
```

Results
ρ = 4.92 g cm⁻³
density of states at the Fermi level = 2.614 states/eV/f.u.
VASP energy = -0.1269 Ha/atom
DFT formation energy = 3.0 kJ/mol of formula units

=====

Record 2
The following is a DFT calculation (GGA-PBE) of Li2Al2Cu after structural relaxation.

```
Li2Al2Cu
1.0
-1.063 5.777 2.375
-3.763 1.330 -4.921
-3.359 -1.507 2.161
Li Al Cu
4 4 2
Direct
0.162 0.662 0.500
0.838 0.338 0.500
0.662 0.838 0.500
0.338 0.162 0.500
0.352 0.852 0.000
0.648 0.148 0.000
0.852 0.648 0.000
0.148 0.352 0.000
0.000 0.000 0.000
0.500 0.500 0.000
```

Results
ρ = 2.55 g cm⁻³
energy above the most stable polymorph in this dataset = 1.17 eV per formula unit
density of states at the Fermi level = 2.129 states/eV/f.u.
VASP energy = -0.1137 Ha/atom
DFT formation energy = -5.4 kJ/mol of formula units

=====

Record 3
The following is a DFT calculation (GGA-PBE) of LiAlCu14 after structural relaxation.

```
LiAlCu14
1.0
5.147 -0.285 0.000
-2.280 4.624 0.000
0.000 0.000 8.365
Cu Li Al
14 1 1
Direct
0.207 0.793 0.000
0.708 0.292 0.000
0.375 0.625 0.752
0.875 0.125 0.748
0.541 0.958 0.500
0.376 0.125 0.248
0.042 0.459 0.500
0.875 0.624 0.752
0.709 0.794 0.000
0.875 0.125 0.252
0.206 0.291 0.000
0.875 0.624 0.248
0.375 0.625 0.248
0.376 0.125 0.752
0.543 0.457 0.500
0.043 0.957 0.500
```

Results
ρ = 7.92 g cm⁻³
density of states at the Fermi level = 3.241 states/eV/f.u.
VASP energy = -0.1465 Ha/atom
DFT formation energy = -77.4 kJ/mol of formula units

=====

Record 4
The following is a DFT calculation (GGA-PBE) of LiAlCu3 after structural relaxation.

```
LiAlCu3
1.0
4.978 0.000 0.000
2.489 4.311 0.000
2.489 1.437 6.444
Cu Al Li
6 2 2
Direct
0.110 0.616 0.658
0.384 0.890 0.342
0.616 0.110 0.658
0.616 0.616 0.658
0.384 0.384 0.342
0.890 0.384 0.342
0.919 0.919 0.242
0.081 0.081 0.758
0.334 0.334 0.997
0.666 0.666 0.003
```

Results
ρ = 5.39 g cm⁻³
energy above the most stable polymorph in this dataset = 0.00 eV per formula unit
density of states at the Fermi level = 0.981 states/eV/f.u.
VASP energy = -0.1367 Ha/atom
DFT formation energy = -62.6 kJ/mol of formula units

=====

Record 5
The following is a DFT calculation (GGA-PBE) of Li2AlCu2 after structural relaxation.

```
Li2AlCu2
1.0
6.507 0.000 0.000
0.000 6.507 0.000
0.000 0.000 3.367
Cu Li Al
4 4 2
Direct
0.636 0.136 0.000
0.364 0.864 0.000
0.864 0.636 0.000
0.136 0.364 0.000
0.835 0.335 0.500
0.335 0.165 0.500
0.665 0.835 0.500
0.165 0.665 0.500
0.000 0.000 0.000
0.500 0.500 0.000
```

Results
ρ = 3.91 g cm⁻³
energy above the most stable polymorph in this dataset = 0.62 eV per formula unit
density of states at the Fermi level = 1.690 states/eV/f.u.
VASP energy = -0.1174 Ha/atom
DFT formation energy = -20.3 kJ/mol of formula units

=====

Record 6
The following is a DFT calculation (GGA-PBE) of LiAlCu2 after structural relaxation.

```
LiAlCu2
1.0
8.602 -0.014 -0.008
8.181 2.660 -0.008
8.181 1.290 2.326
Al Cu Li
1 2 1
Direct
0.750 0.750 0.750
0.002 0.002 0.002
0.498 0.498 0.498
0.250 0.250 0.250
```

Results
ρ = 4.98 g cm⁻³
density of states at the Fermi level = 2.105 states/eV/f.u.
VASP energy = -0.1289 Ha/atom
DFT formation energy = -17.3 kJ/mol of formula units

=====

Record 7
The following is a DFT calculation (GGA-PBE) of Li6AlCu2 after structural relaxation.

```
Li6AlCu2
1.0
4.091 0.000 -1.224
-0.667 4.619 -2.230
-0.100 0.215 7.118
Li Al Cu
6 1 2
Direct
0.601 0.128 0.203
0.276 0.169 0.552
0.724 0.831 0.448
0.852 0.525 0.703
0.399 0.872 0.797
0.148 0.475 0.297
0.500 0.500 0.000
0.051 0.816 0.102
0.949 0.184 0.898
```

Results
ρ = 2.39 g cm⁻³
energy above the most stable polymorph in this dataset = 0.00 eV per formula unit
density of states at the Fermi level = 4.289 states/eV/f.u.
VASP energy = -0.0981 Ha/atom
DFT formation energy = -57.4 kJ/mol of formula units

=====

Record 8
The following is a DFT calculation (GGA-PBE) of Li6AlCu after structural relaxation.

```
Li6AlCu
1.0
4.525 0.004 -0.001
-0.066 8.188 -2.650
0.033 -3.064 4.506
Al Li Cu
1 6 1
Direct
0.500 0.674 0.349
0.000 0.897 0.795
0.001 0.865 0.255
0.000 0.366 0.733
0.500 0.587 0.738
0.999 0.390 0.255
0.500 0.151 0.738
0.500 0.069 0.138
```

Results
ρ = 1.69 g cm⁻³
density of states at the Fermi level = 2.578 states/eV/f.u.
VASP energy = -0.0895 Ha/atom
DFT formation energy = -16.1 kJ/mol of formula units

=====

Record 9
The following is a DFT calculation (GGA-PBE) of Li4AlCu after structural relaxation.

```
Li4AlCu
1.0
-3.921 -1.374 -3.937
1.764 -5.444 0.143
-0.775 2.862 3.934
Li Cu Al
4 1 1
Direct
0.615 0.730 0.733
0.997 0.385 0.267
0.117 0.003 0.733
0.270 0.883 0.267
0.500 0.500 0.000
0.750 0.250 0.500
```

Results
ρ = 2.14 g cm⁻³
energy above the most stable polymorph in this dataset = 0.69 eV per formula unit
density of states at the Fermi level = 1.087 states/eV/f.u.
VASP energy = -0.0944 Ha/atom
DFT formation energy = 8.5 kJ/mol of formula units

=====

Record 10
The following is a DFT calculation (GGA-PBE) of LiAlCu4 after structural relaxation.

```
LiAlCu4
1.0
4.857 0.000 0.000
2.428 4.206 0.000
2.428 1.402 3.966
Cu Al Li
4 1 1
Direct
0.125 0.625 0.625
0.625 0.625 0.625
0.625 0.125 0.625
0.625 0.625 0.125
0.000 0.000 0.000
0.250 0.250 0.250
```

Results
ρ = 5.91 g cm⁻³
energy above the most stable polymorph in this dataset = 0.00 eV per formula unit
density of states at the Fermi level = 3.758 states/eV/f.u.
VASP energy = -0.1380 Ha/atom
DFT formation energy = -46.7 kJ/mol of formula units

=====

Record 11
The following is a DFT calculation (GGA-PBE) of Li2Al2Cu5 after structural relaxation.

```
Li2Al2Cu5
1.0
-0.002 -0.625 -4.109
3.216 -2.817 2.529
-5.506 -3.191 0.488
Al Cu Li
2 5 2
Direct
0.564 0.127 0.319
0.436 0.873 0.681
0.000 0.000 0.000
0.331 0.662 0.009
0.226 0.452 0.336
0.669 0.338 0.991
0.774 0.548 0.664
0.882 0.764 0.329
0.118 0.236 0.671
```

Results
ρ = 5.54 g cm⁻³
energy above the most stable polymorph in this dataset = 0.00 eV per formula unit
density of states at the Fermi level = 2.861 states/eV/f.u.
VASP energy = -0.1352 Ha/atom
DFT formation energy = -128.1 kJ/mol of formula units

=====

Record 12
The following is a DFT calculation (GGA-PBE) of LiAlCu2 after structural relaxation.

```
LiAlCu2
1.0
4.930 0.009 0.018
2.290 4.365 -0.018
-3.197 -2.869 2.419
Li Cu Al
1 2 1
Direct
0.508 0.508 0.000
0.995 0.995 0.000
0.758 0.258 0.500
0.238 0.738 0.500
```

Results
ρ = 5.15 g cm⁻³
density of states at the Fermi level = 1.216 states/eV/f.u.
VASP energy = -0.1337 Ha/atom
DFT formation energy = -67.7 kJ/mol of formula units

=====

Record 13
The following is a DFT calculation (GGA-PBE) of LiAl3Cu5 after structural relaxation.

```
LiAl3Cu5
1.0
5.054 0.000 0.000
0.000 6.366 -3.676
0.000 0.000 7.351
Cu Al Li
10 6 2
Direct
0.250 0.673 0.000
0.750 0.000 0.327
0.250 0.327 0.327
0.500 0.667 0.333
0.750 0.327 0.000
0.250 0.000 0.673
0.000 0.667 0.333
0.750 0.673 0.673
0.500 0.333 0.667
0.000 0.333 0.667
0.750 0.343 0.343
0.250 0.343 0.000
0.250 0.657 0.657
0.750 0.000 0.657
0.750 0.657 0.000
0.250 0.000 0.343
0.000 0.000 0.000
0.500 0.000 0.000
```

Results
ρ = 5.70 g cm⁻³
density of states at the Fermi level = 2.950 states/eV/f.u.
VASP energy = -0.1434 Ha/atom
DFT formation energy = -144.8 kJ/mol of formula units

=====

Record 14
The following is a DFT calculation (GGA-PBE) of Li2AlCu after structural relaxation.

```
Li2AlCu
1.0
-0.748 2.724 1.132
-2.892 -0.446 -0.836
-1.154 -2.538 5.346
Li Al Cu
2 1 1
Direct
0.000 0.000 0.520
0.000 0.000 0.980
0.500 0.500 0.250
0.500 0.500 0.750
```

Results
ρ = 3.10 g cm⁻³
density of states at the Fermi level = 0.776 states/eV/f.u.
VASP energy = -0.1095 Ha/atom
DFT formation energy = -24.4 kJ/mol of formula units

=====

Record 15
The following is a DFT calculation (GGA-PBE) of LiAlCu2 after structural relaxation.

```
LiAlCu2
1.0
3.624 0.000 0.000
0.000 2.643 0.120
0.000 2.272 5.536
Cu Li Al
2 1 1
Direct
0.000 0.492 0.502
0.000 0.008 0.998
0.500 0.250 0.250
0.500 0.750 0.750
```

Results
ρ = 5.14 g cm⁻³
density of states at the Fermi level = 0.952 states/eV/f.u.
VASP energy = -0.1332 Ha/atom
DFT formation energy = -62.8 kJ/mol of formula units

=====

Record 16
The following is a DFT calculation (GGA-PBE) of LiAl2Cu8 after structural relaxation.

```
LiAl2Cu8
1.0
0.852 -2.501 -3.579
-3.011 -4.314 5.003
-2.884 6.238 -2.341
Li Cu Al
1 8 2
Direct
0.500 0.000 0.000
0.275 0.527 0.527
0.500 0.196 0.804
0.229 0.376 0.098
0.725 0.473 0.473
0.771 0.902 0.624
0.500 0.804 0.196
0.771 0.624 0.902
0.229 0.098 0.376
0.000 0.319 0.681
0.000 0.681 0.319
```

Results
ρ = 6.41 g cm⁻³
energy above the most stable polymorph in this dataset = 0.23 eV per formula unit
density of states at the Fermi level = 3.458 states/eV/f.u.
VASP energy = -0.1426 Ha/atom
DFT formation energy = -49.7 kJ/mol of formula units

=====

Record 17
The following is a DFT calculation (GGA-PBE) of Li2AlCu after structural relaxation.

```
Li2AlCu
1.0
2.736 -0.002 0.000
1.366 2.370 0.000
1.366 0.789 8.973
Al Li Cu
1 2 1
Direct
0.500 0.500 0.500
0.254 0.254 0.236
0.079 0.079 0.764
0.666 0.666 0.000
```

Results
ρ = 2.98 g cm⁻³
density of states at the Fermi level = 1.476 states/eV/f.u.
VASP energy = -0.1079 Ha/atom
DFT formation energy = -7.2 kJ/mol of formula units

=====

Record 18
The following is a DFT calculation (GGA-PBE) of LiAl8Cu2 after structural relaxation.

```
LiAl8Cu2
1.0
-1.967 3.594 -2.041
2.440 -2.666 -5.489
-5.601 -2.916 1.823
Al Cu Li
8 2 1
Direct
0.122 0.323 0.074
0.122 0.074 0.323
0.878 0.677 0.926
0.500 0.749 0.251
0.878 0.926 0.677
0.684 0.369 0.369
0.500 0.251 0.749
0.316 0.631 0.631
0.000 0.317 0.683
0.000 0.683 0.317
0.500 0.000 0.000
```

Results
ρ = 3.22 g cm⁻³
density of states at the Fermi level = 3.920 states/eV/f.u.
VASP energy = -0.1343 Ha/atom
DFT formation energy = -14.1 kJ/mol of formula units

=====

Record 19
The following is a DFT calculation (GGA-PBE) of LiAlCu2 after structural relaxation.

```
LiAlCu2
1.0
4.161 0.000 0.000
2.081 3.604 0.000
2.081 1.201 3.398
Cu Li Al
2 1 1
Direct
0.750 0.750 0.750
0.000 0.000 0.000
0.250 0.250 0.250
0.500 0.500 0.500
```

Results
ρ = 5.25 g cm⁻³
density of states at the Fermi level = 1.835 states/eV/f.u.
VASP energy = -0.1334 Ha/atom
DFT formation energy = -65.1 kJ/mol of formula units

=====

Record 20
The following is a DFT calculation (GGA-PBE) of LiAlCu2 after structural relaxation.

```
LiAlCu2
1.0
-2.456 0.715 -0.852
-2.172 -1.355 0.847
-2.368 5.098 6.608
Cu Li Al
2 1 1
Direct
0.085 0.085 0.754
0.249 0.249 0.246
0.499 0.499 0.500
0.667 0.667 0.000
```

Results
ρ = 4.99 g cm⁻³
density of states at the Fermi level = 1.230 states/eV/f.u.
VASP energy = -0.1301 Ha/atom
DFT formation energy = -29.9 kJ/mol of formula units